The following is a DFT calculation (PBE) of NaSr6Cd2 after structural relaxation.

Cell: 4.539 7.039 14.962 Å, 67.03 81.28 71.19°
Atoms (fractional coordinates):
Sr1 0.645 0.257 0.454
Sr2 0.959 0.795 0.286
Sr3 0.701 0.469 0.128
Na1 0.000 0.000 0.000
Sr4 0.299 0.531 0.872
Cd1 0.742 0.817 0.699
Cd2 0.258 0.183 0.301
Sr5 0.355 0.743 0.546
Sr6 0.041 0.205 0.714

energy relative to the lowest polymorph listed for this composition	54.4	meV per atom
N(E_F)	9.35	states/eV per cell

***

The following is a DFT calculation (PBE) of LiLaPuSi after structural relaxation.

Cell: 5.141 5.141 5.141 Å, 60.00 60.00 60.00°
Atoms (fractional coordinates):
Pu1 0.250 0.250 0.250
Li1 0.500 0.500 0.500
Si1 0.000 0.000 0.000
La1 0.750 0.750 0.750

N(E_F)	8.84	states/eV per cell
formation energy (no corrections)	-0.14	eV/atom

***

The following is a DFT calculation (PBE) of Sr4CdN after structural relaxation.

Cell: 6.888 7.535 9.781 Å, 112.66 104.83 90.00°
Atoms (fractional coordinates):
Cd1 0.773 0.799 0.598
Sr1 0.516 0.849 0.237
Sr2 0.134 0.698 0.396
Sr3 0.000 0.727 0.000
Sr4 0.866 0.302 0.604
N1 0.753 0.420 0.839
Sr5 0.484 0.151 0.763
Sr6 0.516 0.388 0.237
Cd2 0.227 0.201 0.402
Sr7 0.000 0.273 0.000
N2 0.247 0.580 0.161
Sr8 0.484 0.612 0.763

energy relative to the lowest polymorph listed for this composition	38.3	meV per atom
N(E_F)	7.63	states/eV per cell
formation energy (no corrections)	-0.30	eV/atom

***

The following is a DFT calculation (PBE) of MoAs after structural relaxation.

Cell: 3.336 11.314 5.961 Å, 90.00 90.00 90.00°
Atoms (fractional coordinates):
As1 0.500 0.838 0.759
Mo1 0.000 0.693 0.932
As2 0.500 0.338 0.259
As3 0.500 0.662 0.259
As4 0.000 0.000 0.151
Mo2 0.500 0.000 0.471
Mo3 0.000 0.307 0.932
As5 0.500 0.162 0.759
Mo4 0.000 0.193 0.432
Mo5 0.500 0.500 0.971
As6 0.000 0.500 0.651
Mo6 0.000 0.807 0.432

N(E_F)	5.97	states/eV per cell
uncorrected energy	-0.28430	hartree per atom

***

Question: What is the N(E_F) in the third record?
Answer: 7.63 states/eV per cell